(1)
A relaxed AcHg2Ge crystal, computed with PBE.

Output
Formation enthalpy at 0 K, meV/atom: -202
Magnetic moment, μB/atom: 0.0003

Geometry as extended XYZ:
```
4
Lattice="3.932 0.000 0.000 0.000 3.932 0.000 0.000 0.000 7.030" Properties=species:S:1:pos:R:3 pbc="T T T"
Ac 0.000 0.000 0.000
Hg 1.966 1.966 1.998
Hg 1.966 1.966 5.031
Ge 0.000 0.000 3.515
```

***

(2)
A relaxed AgOsRh crystal, computed with PBE.

Output
Formation enthalpy at 0 K, meV/atom: 503
Magnetic moment, μB/atom: 0.0963

Geometry as extended XYZ:
```
3
Lattice="0.000 2.343 7.263 1.379 0.000 7.263 1.379 2.343 0.000" Properties=species:S:1:pos:R:3 pbc="T T T"
Ag 0.000 0.000 0.000
Os 1.379 2.343 9.812
Rh 1.379 2.343 4.761
```

***

(3)
A relaxed ZrCdTc2 crystal, computed with PBE.

Output
Formation enthalpy at 0 K, meV/atom: 623
Magnetic moment, μB/atom: 0.0000

Geometry as extended XYZ:
```
8
Lattice="-2.039 2.039 9.724 2.039 -2.039 9.724 2.039 2.039 -9.724" Properties=species:S:1:pos:R:3 pbc="T T T"
Zr 0.000 0.000 0.000
Zr 0.000 2.039 4.862
Cd 2.039 0.000 4.862
Cd 0.000 0.000 9.724
Tc 3.059 0.673 -2.431
Tc 0.673 1.020 2.431
Tc -1.020 1.366 7.293
Tc 1.366 1.020 12.155
```

***

(4)
A relaxed CdCu3Pt6 crystal, computed with PBE.

Output
Formation enthalpy at 0 K, meV/atom: -146
Magnetic moment, μB/atom: 0.0000

Geometry as extended XYZ:
```
20
Lattice="8.481 0.000 0.000 0.000 3.994 0.000 -0.479 0.000 8.849" Properties=species:S:1:pos:R:3 pbc="T T T"
Cd 0.284 0.999 3.534
Cd 7.718 2.996 5.315
Cu 2.153 0.999 0.078
Cu 2.556 2.996 7.175
Cu 3.508 0.999 5.363
Cu 4.494 2.996 3.486
Cu 5.446 0.999 1.675
Cu 5.849 2.996 8.771
Pt 0.001 2.996 8.022
Pt 1.264 2.996 1.777
Pt 1.039 0.999 6.332
Pt 2.071 2.996 4.527
Pt 2.996 0.999 2.676
Pt 3.840 2.996 0.876
Pt 4.162 0.999 7.974
Pt 5.006 2.996 6.173
Pt 5.931 0.999 4.322
Pt 6.963 2.996 2.517
Pt 6.738 0.999 7.072
Pt 8.001 0.999 0.827
```